Compound: BiTe2Ir
Source: OQMD
Functional: GGA-PBE
Structure: optimized geometry

Values from the calculation:
ρ: 11.43 g cm⁻³
E_tot: -0.154 Ha/atom

Unit cell a=7.2533 b=7.2533 c=7.2533 alpha=90.00 beta=90.00 gamma=90.00
Last column: nearest neighbours and their distance in Å.
Space group F-43m (No. 216)
Unique sites:
Bi  0.0000  0.0000  0.0000 [4 per cell]  4 Te 3.14, 4 Ir 3.14
Te  0.0000  0.0000  0.5000 [4 per cell]  4 Te 3.14, 4 Ir 3.14
Te  0.2500  0.2500  0.7500 [4 per cell]  4 Bi 3.14, 4 Te 3.14
Ir  0.2500  0.2500  0.2500 [4 per cell]  4 Bi 3.14, 4 Te 3.14

Compound: Th2BiIr
Source: OQMD
Functional: GGA-PBE
Structure: optimized geometry

Values from the calculation:
ρ: 12.06 g cm⁻³
E_tot: -0.285 Ha/atom

Unit cell a=4.2535 b=4.2535 c=22.8090 alpha=90.00 beta=90.00 gamma=120.00
Last column: nearest neighbours and their distance in Å.
Space group R-3m (No. 166, hexagonal axes)
Unique sites:
Th  0.0000  0.0000  0.2352 [6 per cell]  3 Ir 2.91
Bi  0.0000  0.0000  0.0000 [3 per cell]  6 Th 3.32
Ir  0.0000  0.0000  0.5000 [3 per cell]  6 Th 2.91

Compound: TlBi2Ir
Source: OQMD
Functional: GGA-PBE
Structure: optimized geometry

Values from the calculation:
ρ: 13.85 g cm⁻³
E_tot: -0.157 Ha/atom

Unit cell a=7.3110 b=7.3110 c=7.3110 alpha=90.00 beta=90.00 gamma=90.00
Last column: nearest neighbours and their distance in Å.
Space group F-43m (No. 216)
Unique sites:
Tl  0.0000  0.0000  0.0000 [4 per cell]  4 Bi 3.17, 4 Ir 3.17
Bi  0.0000  0.0000  0.5000 [4 per cell]  4 Ir 3.17, 4 Bi 3.17
Bi  0.2500  0.2500  0.7500 [4 per cell]  4 Tl 3.17, 4 Bi 3.17
Ir  0.2500  0.2500  0.2500 [4 per cell]  4 Tl 3.17, 4 Bi 3.17

Compound: Tl2BiIr
Source: OQMD
Functional: GGA-PBE
Structure: optimized geometry

Values from the calculation:
ρ: 14.16 g cm⁻³
E_tot: -0.144 Ha/atom

Unit cell a=7.2431 b=7.2431 c=7.2431 alpha=90.00 beta=90.00 gamma=90.00
Last column: nearest neighbours and their distance in Å.
Space group F-43m (No. 216)
Unique sites:
Tl  0.0000  0.0000  0.0000 [4 per cell]  4 Tl 3.14, 4 Ir 3.14
Tl  0.2500  0.2500  0.2500 [4 per cell]  4 Tl 3.14, 4 Bi 3.14
Bi  0.0000  0.0000  0.5000 [4 per cell]  4 Tl 3.14, 4 Ir 3.14
Ir  0.2500  0.2500  0.7500 [4 per cell]  4 Tl 3.14, 4 Bi 3.14

Compound: Tm3Zr3Bi2Ir
Source: OQMD
Functional: GGA-PBE
Structure: optimized geometry

Values from the calculation:
ρ: 10.24 g cm⁻³
Distance to the lowest polymorph of the same formula: 0.000 eV per atom
E_tot: -0.250 Ha/atom

Unit cell a=8.0834 b=8.0834 c=3.9845 alpha=90.00 beta=90.00 gamma=120.00
Last column: nearest neighbours and their distance in Å.
Space group P-62m (No. 189)
Unique sites:
Tm  0.0000  0.3900  0.0000 [3 per cell]  1 Ir 3.15, 4 Bi 3.19, 4 Zr 3.39
Zr  0.0000  0.7665  0.5000 [3 per cell]  2 Ir 2.74
Bi  0.3333  0.6667  0.5000 [2 per cell]  3 Zr 3.18, 6 Tm 3.19
Ir  0.0000  0.0000  0.0000 [1 per cell]  6 Zr 2.74

Compound: Tm3Zr3Bi2Ir
Source: OQMD
Functional: GGA-PBE
Structure: optimized geometry

Values from the calculation:
ρ: 10.48 g cm⁻³
Distance to the lowest polymorph of the same formula: 0.099 eV per atom
E_tot: -0.246 Ha/atom

Unit cell a=8.1548 b=8.1548 c=3.8244 alpha=90.00 beta=90.00 gamma=120.00
Last column: nearest neighbours and their distance in Å.
Space group P-62m (No. 189)
Unique sites:
Tm  0.0000  0.7544  0.0000 [3 per cell]  2 Ir 2.77
Zr  0.0000  0.3939  0.5000 [3 per cell]  4 Bi 3.15, 1 Ir 3.21, 6 Tm 3.40-3.51
Bi  0.3333  0.6667  0.0000 [2 per cell]  3 Tm 3.14, 6 Zr 3.15
Ir  0.0000  0.0000  0.5000 [1 per cell]  6 Tm 2.77

Compound: Zn2BiIr
Source: OQMD
Functional: GGA-PBE
Structure: optimized geometry

Values from the calculation:
ρ: 12.20 g cm⁻³
E_tot: -0.131 Ha/atom

Unit cell a=6.6166 b=6.6166 c=6.6166 alpha=90.00 beta=90.00 gamma=90.00
Last column: nearest neighbours and their distance in Å.
Space group F-43m (No. 216)
Unique sites:
Zn  0.0000  0.0000  0.0000 [4 per cell]  4 Ir 2.87, 4 Zn 2.87
Zn  0.2500  0.2500  0.2500 [4 per cell]  4 Bi 2.87, 4 Zn 2.87
Bi  0.0000  0.0000  0.5000 [4 per cell]  4 Ir 2.87, 4 Zn 2.87
Ir  0.2500  0.2500  0.7500 [4 per cell]  4 Bi 2.87, 4 Zn 2.87

Compound: ZnBiIr2
Source: OQMD
Functional: GGA-PBE
Structure: optimized geometry

Values from the calculation:
ρ: 15.65 g cm⁻³
E_tot: -0.196 Ha/atom

Unit cell a=6.5387 b=6.5387 c=6.5387 alpha=90.00 beta=90.00 gamma=90.00
Last column: nearest neighbours and their distance in Å.
Space group F-43m (No. 216)
Unique sites:
Zn  0.0000  0.0000  0.0000 [4 per cell]  4 Bi 2.83, 4 Ir 2.83
Bi  0.2500  0.2500  0.7500 [4 per cell]  4 Ir 2.83, 4 Zn 2.83
Ir  0.0000  0.0000  0.5000 [4 per cell]  4 Bi 2.83, 4 Ir 2.83
Ir  0.2500  0.2500  0.2500 [4 per cell]  4 Ir 2.83, 4 Zn 2.83

Compound: ZrBiIr
Source: OQMD
Functional: GGA-PBE
Structure: optimized geometry

Values from the calculation:
ρ: 13.11 g cm⁻³
E_tot: -0.267 Ha/atom

Unit cell a=7.0638 b=7.0638 c=4.3306 alpha=90.00 beta=90.00 gamma=120.00
Last column: nearest neighbours and their distance in Å.
Space group P-62m (No. 189)
Unique sites:
Zr  0.0000  0.5726  0.0000 [3 per cell]  5 Bi 3.02, 2 Ir 3.14
Bi  0.0000  0.0000  0.0000 [1 per cell]  6 Ir 2.79, 3 Zr 3.02
Bi  0.3333  0.6667  0.5000 [2 per cell]  3 Ir 2.70, 6 Zr 3.02
Ir  0.0000  0.2499  0.5000 [3 per cell]  4 Bi 2.70-2.79

Compound: ZrBiIr
Source: OQMD
Functional: GGA-PBE
Structure: optimized geometry

Values from the calculation:
ρ: 12.66 g cm⁻³
E_tot: -0.272 Ha/atom

Unit cell a=7.2480 b=4.3621 c=8.1742 alpha=90.00 beta=90.00 gamma=90.00
Last column: nearest neighbours and their distance in Å.
Space group Pnma (No. 62)
Unique sites:
Zr  0.0259  0.2500  0.2366 [4 per cell]  3 Ir 2.81-2.87, 3 Bi 3.00-3.06
Bi  0.2178  0.2500  0.9113 [4 per cell]  4 Ir 2.81-2.89, 3 Zr 3.00-3.06
Ir  0.1053  0.2500  0.5810 [4 per cell]  3 Zr 2.81-2.87, 4 Bi 2.81-2.89, 2 Ir 2.97

Compound: ZrBiIr
Source: OQMD
Functional: GGA-PBE
Structure: optimized geometry

Values from the calculation:
ρ: 12.52 g cm⁻³
E_tot: -0.273 Ha/atom

Unit cell a=6.1640 b=4.2662 c=9.9376 alpha=90.00 beta=90.00 gamma=90.00
Last column: nearest neighbours and their distance in Å.
Space group Pnma (No. 62)
Unique sites:
Zr  0.2259  0.2500  0.1491 [4 per cell]  3 Ir 2.59-2.84
Bi  0.0972  0.7500  0.3561 [4 per cell]  2 Ir 2.85, 5 Zr 3.07-3.13
Ir  0.1517  0.7500  0.9663 [4 per cell]  3 Zr 2.59-2.84, 2 Bi 2.85

Compound: ZrBiIr
Source: OQMD
Functional: GGA-PBE
Structure: optimized geometry

Values from the calculation:
ρ: 12.33 g cm⁻³
E_tot: -0.277 Ha/atom

Unit cell a=4.5515 b=4.5515 c=7.3899 alpha=90.00 beta=90.00 gamma=120.00
Last column: nearest neighbours and their distance in Å.
Space group P6_3mc (No. 186)
Unique sites:
Zr  0.0000  0.0000  0.0000 [2 per cell]  3 Ir 2.78
Bi  0.3333  0.6667  0.2514 [2 per cell]  4 Ir 2.77-2.79
Ir  0.3333  0.6667  0.8770 [2 per cell]  4 Bi 2.77-2.79, 3 Zr 2.78

Compound: ZrBiIr
Source: OQMD
Functional: GGA-PBE
Structure: optimized geometry

Values from the calculation:
ρ: 12.88 g cm⁻³
E_tot: -0.274 Ha/atom

Unit cell a=7.3773 b=7.3773 c=4.0403 alpha=90.00 beta=90.00 gamma=120.00
Last column: nearest neighbours and their distance in Å.
Space group P-62m (No. 189)
Unique sites:
Zr  0.0000  0.6052  0.0000 [3 per cell]  5 Ir 2.91-3.04, 2 Bi 3.18
Bi  0.0000  0.2720  0.5000 [3 per cell]  4 Ir 2.71-2.85
Ir  0.0000  0.0000  0.0000 [1 per cell]  6 Bi 2.85, 3 Zr 2.91
Ir  0.3333  0.6667  0.5000 [2 per cell]  3 Bi 2.71, 6 Zr 3.04